# 1
! Pa2SO4 (PBE, relaxed); values from VASP
! Electronic total energy: -60.73 eV/cell
! SG: R-3m, No. 166
! Theoretical density: 9.558 g/cm³
! Magnetic moment: 0.00 Bohr magnetons per cell
&SYSTEM
  ibrav = 0, nat = 7, ntyp = 3
/
ATOMIC_SPECIES
Pa 231.04 Pa.upf
S 32.06 S.upf
O 16.00 O.upf
CELL_PARAMETERS angstrom
1.9410 1.1207 7.4295
-1.9410 1.1207 7.4295
0.0000 -2.2413 7.4295
ATOMIC_POSITIONS crystal
Pa 0.2381 0.2381 0.2381
Pa 0.7619 0.7619 0.7619
S 0.0000 0.0000 0.0000
O 0.1378 0.1378 0.1378
O 0.4222 0.4222 0.4222
O 0.5778 0.5778 0.5778
O 0.8622 0.8622 0.8622

---

# 2
! BaYAl4Pd2 (PBE, relaxed); values from VASP
! Electronic total energy: -77.00 eV/cell
! SG: Amm2, No. 38
! Theoretical density: 5.224 g/cm³
! Magnetic moment: 0.04 Bohr magnetons per cell
&SYSTEM
  ibrav = 0, nat = 16, ntyp = 4
/
ATOMIC_SPECIES
Ba 137.33 Ba.upf
Y 88.91 Y.upf
Al 26.98 Al.upf
Pd 106.42 Pd.upf
CELL_PARAMETERS angstrom
7.3757 0.0000 0.0000
0.0000 4.2425 0.0000
0.0000 0.0000 11.1140
ATOMIC_POSITIONS crystal
Ba 0.0000 0.0000 0.0000
Ba 0.0000 0.5000 0.5000
Y 0.5000 0.0000 0.8934
Y 0.5000 0.5000 0.3934
Al 0.2031 0.0000 0.2794
Al 0.2031 0.5000 0.7794
Al 0.3169 0.0000 0.6189
Al 0.3169 0.5000 0.1189
Al 0.6831 0.0000 0.6189
Al 0.6831 0.5000 0.1189
Al 0.7969 0.0000 0.2794
Al 0.7969 0.5000 0.7794
Pd 0.0000 0.0000 0.7275
Pd 0.0000 0.5000 0.2275
Pd 0.5000 0.0000 0.1647
Pd 0.5000 0.5000 0.6647

---

# 3
! PrGd3Al4 (PBE, relaxed); values from VASP
! Electronic total energy: -36.93 eV/cell
! SG: Pm, No. 6
! Theoretical density: 6.126 g/cm³
! Magnetic moment: 0.02 Bohr magnetons per cell
&SYSTEM
  ibrav = 0, nat = 8, ntyp = 3
/
ATOMIC_SPECIES
Pr 140.91 Pr.upf
Gd 157.25 Gd.upf
Al 26.98 Al.upf
CELL_PARAMETERS angstrom
5.9190 0.0000 0.0000
0.0000 5.6633 0.0000
-1.0888 0.0000 5.8265
ATOMIC_POSITIONS crystal
Pr 0.0000 0.0000 0.0000
Gd 0.3243 0.5000 0.0487
Gd 0.6348 0.0000 0.3601
Gd 0.6855 0.5000 0.6811
Al 0.1637 0.2512 0.5221
Al 0.1637 0.7488 0.5221
Al 0.4695 0.0000 0.8271
Al 0.8509 0.5000 0.2158

---

# 4
! Sc2BeAu (PBE, relaxed); values from VASP
! Electronic total energy: -81.12 eV/cell
! SG: F-43m, No. 216
! Theoretical density: 7.241 g/cm³
! Magnetic moment: 4.00 Bohr magnetons per cell
&SYSTEM
  ibrav = 0, nat = 16, ntyp = 3
/
ATOMIC_SPECIES
Sc 44.96 Sc.upf
Be 9.01 Be.upf
Au 196.97 Au.upf
CELL_PARAMETERS angstrom
6.4745 0.0000 0.0000
0.0000 6.4745 0.0000
0.0000 0.0000 6.4745
ATOMIC_POSITIONS crystal
Sc 0.0000 0.0000 0.0000
Sc 0.0000 0.5000 0.5000
Sc 0.2500 0.2500 0.2500
Sc 0.2500 0.7500 0.7500
Sc 0.5000 0.0000 0.5000
Sc 0.5000 0.5000 0.0000
Sc 0.7500 0.2500 0.7500
Sc 0.7500 0.7500 0.2500
Be 0.0000 0.0000 0.5000
Be 0.0000 0.5000 0.0000
Be 0.5000 0.0000 0.0000
Be 0.5000 0.5000 0.5000
Au 0.2500 0.2500 0.7500
Au 0.2500 0.7500 0.2500
Au 0.7500 0.2500 0.2500
Au 0.7500 0.7500 0.7500

---

# 5
! PuZn (PBE, relaxed); values from VASP
! SG: Pm, No. 6
! Energy relative to the elements: -0.13 eV per atom
! Theoretical density: 14.410 g/cm³
! Magnetic moment: 4.32 Bohr magnetons per cell
&SYSTEM
  ibrav = 0, nat = 12, ntyp = 2
/
ATOMIC_SPECIES
Pu 244.00 Pu.upf
Zn 65.41 Zn.upf
CELL_PARAMETERS angstrom
6.0677 0.0000 0.0000
0.0000 4.3472 0.0000
-2.1410 0.0000 8.1104
ATOMIC_POSITIONS crystal
Pu 0.0000 0.0000 0.0000
Pu 0.0364 0.5000 0.8538
Pu 0.3654 0.0000 0.7303
Pu 0.4465 0.5000 0.8760
Pu 0.6779 0.5000 0.5247
Pu 0.7352 0.0000 0.6885
Zn 0.1607 0.5000 0.4894
Zn 0.3102 0.5000 0.2028
Zn 0.3416 0.0000 0.3698
Zn 0.5555 0.0000 0.1411
Zn 0.8288 0.5000 0.1931
Zn 0.9249 0.0000 0.3883

---

# 6
! HfCdB4 (PBE, relaxed); values from VASP
! SG: Immm, No. 71
! Theoretical density: 8.764 g/cm³
! Distance to the lowest polymorph of the same formula: 0.047 eV per atom
! Magnetic moment: 0.00 Bohr magnetons per cell
&SYSTEM
  ibrav = 0, nat = 12, ntyp = 3
/
ATOMIC_SPECIES
Hf 178.49 Hf.upf
Cd 112.41 Cd.upf
B 10.81 B.upf
CELL_PARAMETERS angstrom
3.1330 0.0000 0.0000
0.0000 5.2949 0.0000
0.0000 0.0000 7.6334
ATOMIC_POSITIONS crystal
Hf 0.0000 0.0000 0.0000
Hf 0.5000 0.5000 0.5000
Cd 0.0000 0.0000 0.5000
Cd 0.5000 0.5000 0.0000
B 0.0000 0.3278 0.2608
B 0.0000 0.3278 0.7392
B 0.0000 0.6722 0.2608
B 0.0000 0.6722 0.7392
B 0.5000 0.1722 0.2392
B 0.5000 0.1722 0.7608
B 0.5000 0.8278 0.2392
B 0.5000 0.8278 0.7608

---

# 7
! DyLu3Sc2Te2Os (PBE, relaxed); values from VASP
! Electronic total energy: -54.53 eV/cell
! SG: Amm2, No. 38
! Theoretical density: 9.162 g/cm³
! Magnetic moment: 0.00 Bohr magnetons per cell
&SYSTEM
  ibrav = 0, nat = 9, ntyp = 5
/
ATOMIC_SPECIES
Dy 162.50 Dy.upf
Lu 174.97 Lu.upf
Sc 44.96 Sc.upf
Te 127.60 Te.upf
Os 190.23 Os.upf
CELL_PARAMETERS angstrom
3.9548 0.0000 0.0000
0.0000 6.9554 4.0283
0.0000 -6.9554 4.0283
ATOMIC_POSITIONS crystal
Dy 0.0000 0.0000 0.0000
Lu 0.5000 0.1511 0.3933
Lu 0.5000 0.3933 0.1511
Lu 0.5000 0.6304 0.6304
Sc 0.0000 0.3902 0.7737
Sc 0.0000 0.7737 0.3902
Te 0.5000 0.0575 0.7190
Te 0.5000 0.7190 0.0575
Os 0.0000 0.3936 0.3936

---

# 8
! LiPdAu2 (PBE, relaxed); values from VASP
! SG: F-43m, No. 216
! Theoretical density: 12.869 g/cm³
! Distance to the lowest polymorph of the same formula: 0.087 eV per atom
&SYSTEM
  ibrav = 0, nat = 16, ntyp = 3
/
ATOMIC_SPECIES
Li 6.94 Li.upf
Pd 106.42 Pd.upf
Au 196.97 Au.upf
CELL_PARAMETERS angstrom
6.3974 0.0000 0.0000
0.0000 6.3974 0.0000
0.0000 0.0000 6.3974
ATOMIC_POSITIONS crystal
Li 0.0000 0.0000 0.0000
Li 0.0000 0.5000 0.5000
Li 0.5000 0.0000 0.5000
Li 0.5000 0.5000 0.0000
Pd 0.2500 0.2500 0.2500
Pd 0.2500 0.7500 0.7500
Pd 0.7500 0.2500 0.7500
Pd 0.7500 0.7500 0.2500
Au 0.0000 0.0000 0.5000
Au 0.0000 0.5000 0.0000
Au 0.2500 0.2500 0.7500
Au 0.2500 0.7500 0.2500
Au 0.5000 0.0000 0.0000
Au 0.5000 0.5000 0.5000
Au 0.7500 0.2500 0.2500
Au 0.7500 0.7500 0.7500

---

# 9
! RbCuTcTe3 (PBE, relaxed); values from VASP
! SG: C2/m, No. 12
! Theoretical density: 6.345 g/cm³
! Distance to the lowest polymorph of the same formula: 0.126 eV per atom
! Magnetic moment: 0.04 Bohr magnetons per cell
&SYSTEM
  ibrav = 0, nat = 12, ntyp = 4
/
ATOMIC_SPECIES
Rb 85.47 Rb.upf
Cu 63.55 Cu.upf
Tc 98.00 Tc.upf
Te 127.60 Te.upf
CELL_PARAMETERS angstrom
8.7835 -2.0563 0.0000
8.7835 2.0563 0.0000
-1.0345 0.0000 9.1262
ATOMIC_POSITIONS crystal
Rb 0.1378 0.1378 0.3688
Rb 0.8622 0.8622 0.6312
Cu 0.4655 0.4655 0.1676
Cu 0.5345 0.5345 0.8324
Tc 0.1468 0.1468 0.9058
Tc 0.8532 0.8532 0.0942
Te 0.0000 0.0000 0.0000
Te 0.3053 0.3053 0.9111
Te 0.3446 0.3446 0.2944
Te 0.5000 0.5000 0.5000
Te 0.6554 0.6554 0.7056
Te 0.6947 0.6947 0.0889

---

# 10
! CuAgBPd (PBE, relaxed); values from VASP
! SG: F-43m, No. 216
! Theoretical density: 9.094 g/cm³
! Distance to the lowest polymorph of the same formula: 0.000 eV per atom
&SYSTEM
  ibrav = 0, nat = 16, ntyp = 4
/
ATOMIC_SPECIES
Cu 63.55 Cu.upf
Ag 107.87 Ag.upf
B 10.81 B.upf
Pd 106.42 Pd.upf
CELL_PARAMETERS angstrom
5.9517 0.0000 0.0000
0.0000 5.9517 0.0000
0.0000 0.0000 5.9517
ATOMIC_POSITIONS crystal
Cu 0.0000 0.0000 0.0000
Cu 0.0000 0.5000 0.5000
Cu 0.5000 0.0000 0.5000
Cu 0.5000 0.5000 0.0000
Ag 0.2500 0.2500 0.2500
Ag 0.2500 0.7500 0.7500
Ag 0.7500 0.2500 0.7500
Ag 0.7500 0.7500 0.2500
B 0.2500 0.2500 0.7500
B 0.2500 0.7500 0.2500
B 0.7500 0.2500 0.2500
B 0.7500 0.7500 0.7500
Pd 0.0000 0.0000 0.5000
Pd 0.0000 0.5000 0.0000
Pd 0.5000 0.0000 0.0000
Pd 0.5000 0.5000 0.5000

---

# 11
! Pa2Ta2O5 (PBE, relaxed); values from VASP
! SG: P4/mmm, No. 123
! Theoretical density: 12.029 g/cm³
! Distance to the lowest polymorph of the same formula: 0.753 eV per atom
! Magnetic moment: 0.02 Bohr magnetons per cell
&SYSTEM
  ibrav = 0, nat = 9, ntyp = 3
/
ATOMIC_SPECIES
Pa 231.04 Pa.upf
Ta 180.95 Ta.upf
O 16.00 O.upf
CELL_PARAMETERS angstrom
3.6440 0.0000 0.0000
0.0000 3.6440 0.0000
0.0000 0.0000 9.3977
ATOMIC_POSITIONS crystal
Pa 0.0000 0.0000 0.2133
Pa 0.0000 0.0000 0.7867
Ta 0.5000 0.5000 0.0000
Ta 0.5000 0.5000 0.5000
O 0.0000 0.0000 0.5000
O 0.0000 0.5000 0.3481
O 0.0000 0.5000 0.6519
O 0.5000 0.0000 0.3481
O 0.5000 0.0000 0.6519

---

# 12
! TaAlOs2 (PBE, relaxed); values from VASP
! SG: P4/mmm, No. 123
! Theoretical density: 16.247 g/cm³
! Distance to the lowest polymorph of the same formula: 0.042 eV per atom
! Magnetic moment: 0.01 Bohr magnetons per cell
&SYSTEM
  ibrav = 0, nat = 4, ntyp = 3
/
ATOMIC_SPECIES
Ta 180.95 Ta.upf
Al 26.98 Al.upf
Os 190.23 Os.upf
CELL_PARAMETERS angstrom
3.1326 0.0000 0.0000
0.0000 3.1326 0.0000
0.0000 0.0000 6.1280
ATOMIC_POSITIONS crystal
Ta 0.0000 0.0000 0.0000
Al 0.0000 0.0000 0.5000
Os 0.5000 0.5000 0.2558
Os 0.5000 0.5000 0.7442

---

Among the records above, which one has the lowest theoretical density?
BaYAl4Pd2

---

What is the theoretical density in the eleventh record?
12.029 g/cm³